DFT (PBE-GGA) results for crystalline NaTi2O4 at its relaxed geometry.

Cell and atoms, written as POSCAR:
```
NaTi2O4
1.0
2.964 0.000 0.000
0.000 9.355 0.000
0.000 0.000 10.846
O Ti Na
16 8 4
Cartesian
0.741 5.422 6.188
2.223 1.057 5.187
0.741 9.151 3.057
2.223 5.735 0.236
2.223 4.882 8.480
2.223 6.627 3.805
0.741 4.473 2.366
2.223 3.933 4.658
0.741 3.620 10.611
2.223 1.949 1.619
2.223 8.611 0.765
0.741 8.298 5.659
0.741 2.728 7.042
0.741 0.744 10.081
0.741 7.406 9.228
2.223 0.204 7.789
2.223 8.585 4.307
2.223 4.082 6.624
2.223 3.908 1.116
0.741 0.596 1.201
0.741 0.770 6.540
2.223 8.759 9.645
0.741 5.448 9.730
0.741 5.274 4.222
0.741 6.949 1.670
2.223 2.406 9.176
0.741 2.271 3.753
2.223 7.084 7.093
```

Energy above the lowest structure with this stoichiometry in eV per atom: 0.0045
Raw formation energy in eV/atom: -2.7405
Density in Mg/m³: 4.03
D(E_F) in states/eV per cell: 11.2